1.
## ZnAsSe2 (GGA-PBE)

Data for crystalline ZnAsSe2 at its relaxed geometry.

Geometry as POSCAR:
```
ZnAsSe2
1.0
-3.2098 0.3987 -0.6570
-0.8835 -3.8167 2.0001
-0.6532 2.6742 4.8146
Se As Zn
2 1 1
Direct
0.0000 0.0000 0.0000
0.5000 0.5000 0.0000
0.0000 0.5000 0.5000
0.5000 0.0000 0.5000
```

- uncorrected formation energy (kJ/mol of atoms) = 34.2
- calculated volume (A^3/atom) = 20.129
- raw total energy (eV/atom) = -2.868
- crystal system = orthorhombic
- theoretical density (Mg/m³) = 6.15
- symmetry = Pmmm

***

2.
## ZnAsSe2 (GGA-PBE)

Data for crystalline ZnAsSe2 at its relaxed geometry.

Geometry as POSCAR:
```
ZnAsSe2
1.0
0.0000 3.3864 3.3864
3.3864 0.0000 3.3864
3.3864 3.3864 0.0000
Se As Zn
2 1 1
Direct
0.2500 0.2500 0.2500
0.7500 0.7500 0.7500
0.5000 0.5000 0.5000
0.0000 0.0000 0.0000
```

- uncorrected formation energy (kJ/mol of atoms) = 25.7
- calculated volume (A^3/atom) = 19.417
- raw total energy (eV/atom) = -2.957
- crystal system = cubic
- theoretical density (Mg/m³) = 6.38
- symmetry = Fm-3m

***

3.
## ZnAsSe2 (GGA-PBE)

Data for crystalline ZnAsSe2 at its relaxed geometry.

Geometry as POSCAR:
```
ZnAsSe2
1.0
-1.9308 1.7567 2.0752
2.5843 -1.5503 1.4277
5.1327 7.2795 -1.3865
As Zn Se
1 1 2
Direct
0.5000 0.5000 0.7321
0.0000 0.0000 0.5056
0.5000 0.5000 0.3221
0.0000 0.0000 0.9402
```

- uncorrected formation energy (kJ/mol of atoms) = 21.4
- calculated volume (A^3/atom) = 22.659
- raw total energy (eV/atom) = -3.001
- crystal system = orthorhombic
- theoretical density (Mg/m³) = 5.46
- symmetry = Cmm2

***

4.
## Zn4AsSe (GGA-PBE)

Data for crystalline Zn4AsSe at its relaxed geometry.

Geometry as POSCAR:
```
Zn4AsSe
1.0
0.0000 3.7425 3.7425
3.7425 0.0000 3.7425
3.7425 3.7425 0.0000
Se Zn As
1 4 1
Direct
0.0000 0.0000 0.0000
0.8750 0.3750 0.3750
0.3750 0.3750 0.3750
0.3750 0.8750 0.3750
0.3750 0.3750 0.8750
0.7500 0.7500 0.7500
```

- uncorrected formation energy (kJ/mol of atoms) = 21.3
- calculated volume (A^3/atom) = 17.473
- raw total energy (eV/atom) = -1.985
- crystal system = cubic
- theoretical density (Mg/m³) = 6.58
- symmetry = F-43m

***

5.
## ZnAsSe2 (GGA-PBE)

Data for crystalline ZnAsSe2 at its relaxed geometry.

Geometry as POSCAR:
```
ZnAsSe2
1.0
6.3902 0.0115 0.4029
5.2039 3.7087 0.4029
-0.2127 -0.0682 3.9369
Se As Zn
2 1 1
Direct
0.2607 0.2607 0.3761
0.9862 0.9862 0.8703
0.7843 0.7843 0.8771
0.4687 0.4687 0.3766
```

- uncorrected formation energy (kJ/mol of atoms) = -8.4
- calculated volume (A^3/atom) = 23.354
- raw total energy (eV/atom) = -3.311
- crystal system = monoclinic
- theoretical density (Mg/m³) = 5.30
- symmetry = Cm

***

6.
## Zn2AsSe2 (GGA-PBE)

Data for crystalline Zn2AsSe2 at its relaxed geometry.

Geometry as POSCAR:
```
Zn2AsSe2
1.0
-2.5552 2.5552 3.9132
2.5552 -2.5552 3.9132
2.5552 2.5552 -3.9132
As Se Zn
1 2 2
Direct
0.0000 0.0000 0.0000
0.2500 0.7500 0.5000
0.7500 0.2500 0.5000
0.6600 0.6600 0.0000
0.3400 0.3400 0.0000
```

- uncorrected formation energy (kJ/mol of atoms) = 18.1
- calculated volume (A^3/atom) = 20.440
- raw total energy (eV/atom) = -2.646
- crystal system = tetragonal
- theoretical density (Mg/m³) = 5.91
- symmetry = I4/mmm